The following is a GGA-PBE calculation of an optimized crystal structure of RbCaTa, from Alexandria via LeMat-Bulk.

Unit cell a=8.0844 b=5.1384 c=9.9485 alpha=90.00 beta=90.00 gamma=90.00
Last column: nearest neighbours and their distance in Å.
Fractional coordinates of all 12 atoms:
Rb (0.5175, 0.7500, 0.8849)  2 Rb 3.45, 4 Ca 3.50-3.57, 1 Ta 3.69
Rb (0.4825, 0.2500, 0.1151)  2 Rb 3.45, 4 Ca 3.50-3.57, 1 Ta 3.69
Ca (0.2461, 0.7500, 0.2565)  2 Ta 3.31-3.33, 4 Rb 3.50-3.57
Ta (0.5041, 0.7500, 0.5144)  2 Ta 2.59
Rb (0.9825, 0.2500, 0.3849)  2 Rb 3.45, 4 Ca 3.50-3.57, 1 Ta 3.69
Ca (0.7461, 0.7500, 0.2435)  2 Ta 3.31-3.33, 4 Rb 3.50-3.57
Ca (0.2539, 0.2500, 0.7565)  2 Ta 3.31-3.33, 4 Rb 3.50-3.57
Ca (0.7539, 0.2500, 0.7435)  2 Ta 3.31-3.33, 4 Rb 3.50-3.57
Ta (0.9959, 0.2500, 0.0144)  2 Ta 2.59
Rb (0.0175, 0.7500, 0.6151)  2 Rb 3.45, 4 Ca 3.50-3.57, 1 Ta 3.69
Ta (0.4959, 0.2500, 0.4856)  2 Ta 2.59
Ta (0.0041, 0.7500, 0.9856)  2 Ta 2.59

- Energy of formation from the pure elements: 1.0625 eV per atom
- Total energy: -46.54 eV/cell
- Offset from the most stable computed form: 0.665 eV/atom